# Fe2AuSeO GGA+U relaxed
# Magnetization, μB/cell: 7.24
# Uncorrected energy, eV/atom: -4.633
data_Fe2AuSeO
_cell_length_a 4.015
_cell_length_b 4.015
_cell_length_c 5.315
_cell_angle_alpha 90.00
_cell_angle_beta 90.00
_cell_angle_gamma 90.00
_space_group_name_H-M_alt 'P 4/m m m'
_space_group_IT_number 123
_space_group_name_Hall '-P 4 2'
loop_
_atom_site_label
_atom_site_type_symbol
_atom_site_fract_x
_atom_site_fract_y
_atom_site_fract_z
Fe1 Fe 0.000 0.500 0.000
Au1 Au 0.000 0.000 0.500
Se1 Se 0.500 0.500 0.500
O1 O 0.000 0.000 0.000